1.
VASP calculation (PBE) on a relaxed structure of MnHS2.

Properties
- Uncorrected energy: -81.5 eV per cell
- Energy above the most stable polymorph in this dataset: 473 meV/atom

Cell: 4.8065 4.8065 9.6093 Å, 90.00 90.00 90.00°
Space group I-42d (No. 122)
Asymmetric unit:
1 Mn 0.0000 0.0000 0.0000 [4 per cell]
2 H 0.0000 0.0000 0.5000 [4 per cell]
3 S 0.2367 0.2500 0.6250 [8 per cell]


2.
VASP calculation (PBE) on a relaxed structure of MnHS2.

Properties
- Uncorrected energy: -84.0 eV per cell
- Energy above the most stable polymorph in this dataset: 316 meV/atom

Cell: 6.7547 6.1740 5.4511 Å, 90.00 117.43 90.00°
Space group C2/c (No. 15)
Asymmetric unit:
1 Mn 0.0000 0.1021 0.2500 [4 per cell]
2 H 0.0000 0.3200 0.7500 [4 per cell]
3 S 0.1869 0.1995 0.6943 [8 per cell]


3.
VASP calculation (PBE) on a relaxed structure of MnHS2.

Properties
- Uncorrected energy: -82.6 eV per cell
- Energy above the most stable polymorph in this dataset: 403 meV/atom

Cell: 5.2891 5.2891 7.8885 Å, 90.00 90.00 90.00°
Space group I4_1/amd (No. 141, origin choice 2)
Asymmetric unit:
1 Mn 0.0000 0.2500 0.3750 [4 per cell]
2 H 0.0000 0.2500 0.8750 [4 per cell]
3 S 0.0000 0.2500 0.0785 [8 per cell]


| no. | ρ (g cm⁻³) |
| --- | --- |
| 1 | 3.6 |
| 2 | 4.0 |
| 3 | 3.6 |